Material: NaMn2BO
Method: DFT, PBE+U
State: optimized geometry

```
data_NaMn2BO
_space_group_name_H-M_alt 'P 1'
_space_group_IT_number 1
_space_group_name_Hall 'P 1'
_cell_length_a 4.2588
_cell_length_b 4.3081
_cell_length_c 4.2588
_cell_angle_alpha 90.00
_cell_angle_beta 90.00
_cell_angle_gamma 90.00
loop_
_atom_site_label
_atom_site_type_symbol
_atom_site_fract_x
_atom_site_fract_y
_atom_site_fract_z
_atom_site_occupancy
Mn1 Mn 0.5000 0.0000 0.0000 1
Mn2 Mn 0.0000 0.0000 0.5000 1
B1 B 0.0000 0.0000 0.0000 1
Na1 Na 0.5000 0.5000 0.5000 1
O1 O 0.0000 0.5000 0.0000 1
```

## Properties
uncorrected energy	-0.37172	Ry per atom
symmetry	No. 123